First-principles (PBE) data for an optimized crystal structure of CuSbOsO6, as listed in Alexandria via LeMat-Bulk. Values from VASP.

The structure in Quantum ESPRESSO input format:
```
&SYSTEM
  ibrav = 0, nat = 18, ntyp = 4
/
ATOMIC_SPECIES
Cu 63.55 Cu.upf
Sb 121.76 Sb.upf
Os 190.23 Os.upf
O 16.00 O.upf
ATOMIC_POSITIONS crystal
Cu 0.0000 0.0000 0.0000
Cu 0.0000 0.0000 0.5000
Sb 0.6667 0.3333 0.2500
Sb 0.3333 0.6667 0.7500
Os 0.3333 0.6667 0.2500
Os 0.6667 0.3333 0.7500
O 0.6370 0.6526 0.1306
O 0.0156 0.3630 0.1306
O 0.3630 0.0156 0.6306
O 0.9844 0.6370 0.8694
O 0.3474 0.3630 0.3694
O 0.0156 0.6526 0.3694
O 0.6526 0.0156 0.8694
O 0.6370 0.9844 0.3694
O 0.9844 0.3474 0.6306
O 0.3474 0.9844 0.1306
O 0.6526 0.6370 0.6306
O 0.3630 0.3474 0.8694
CELL_PARAMETERS angstrom
5.2540 0.0000 0.0000
-2.6270 4.5501 0.0000
0.0000 0.0000 8.8968
```

Computed properties:
- Space-group type: No. 163
- Mass density: 7.36 g/cm³
- Crystal system: trigonal
- Raw formation energy: -0.94 eV/atom

---

First-principles (PBE) data for an optimized crystal structure of Sr3Cu2OsO9, as listed in Alexandria via LeMat-Bulk. Values from VASP.

The structure in Quantum ESPRESSO input format:
```
&SYSTEM
  ibrav = 0, nat = 15, ntyp = 4
/
ATOMIC_SPECIES
Sr 87.62 Sr.upf
Cu 63.55 Cu.upf
Os 190.23 Os.upf
O 16.00 O.upf
ATOMIC_POSITIONS crystal
Sr 0.3333 0.6667 0.6949
Sr 0.0000 0.0000 0.0000
Sr 0.6667 0.3333 0.3051
Cu 0.3333 0.6667 0.1548
Cu 0.6667 0.3333 0.8452
Os 0.0000 0.0000 0.5000
O 0.8383 0.1617 0.6571
O 0.8383 0.6766 0.6571
O 0.3234 0.1617 0.6571
O 0.6766 0.8383 0.3429
O 0.1617 0.3234 0.3429
O 0.1617 0.8383 0.3429
O 0.5000 0.0000 0.0000
O 0.0000 0.5000 0.0000
O 0.5000 0.5000 0.0000
CELL_PARAMETERS angstrom
5.5689 0.0000 0.0000
-2.7845 4.8228 0.0000
0.0000 0.0000 6.9648
```

Computed properties:
- Space-group type: No. 164
- Mass density: 6.43 g/cm³
- Crystal system: trigonal
- Raw formation energy: -1.64 eV/atom